! Tb2Pm3Er5 (GGA-PBE, relaxed); values from VASP
! ΔH_f (0 K) (meV per atom): 341
! Distance to the lowest polymorph of the same formula (meV/atom): 148
! Density of states at the Fermi level (states/eV/f.u.): 17.0
! Raw total energy (eV per atom): -4.291
&SYSTEM
  ibrav = 0, nat = 20, ntyp = 3
/
ATOMIC_SPECIES
Tb 158.93 Tb.upf
Pm 145.00 Pm.upf
Er 167.26 Er.upf
ATOMIC_POSITIONS crystal
Tb 0.1561 0.1040 0.2602
Tb 0.3439 0.6040 0.9479
Tb 0.6561 0.3960 0.0521
Tb 0.8439 0.8960 0.7398
Pm 0.2464 0.8424 0.0889
Pm 0.2500 0.2500 0.0000
Pm 0.2536 0.3424 0.5960
Pm 0.7464 0.6576 0.4040
Pm 0.7500 0.7500 0.0000
Pm 0.7536 0.1576 0.9111
Er 0.1557 0.5983 0.7539
Er 0.2500 0.5035 0.2535
Er 0.2500 0.7500 0.5000
Er 0.2500 0.9965 0.7465
Er 0.3443 0.0983 0.4426
Er 0.6557 0.9017 0.5574
Er 0.7500 0.0035 0.2535
Er 0.7500 0.2500 0.5000
Er 0.7500 0.4965 0.7465
Er 0.8443 0.4017 0.2461
CELL_PARAMETERS angstrom
-6.4332 8.3976 3.1482
6.4332 -8.3976 3.1482
6.4332 8.3976 -3.1482